(1)
VASP calculation (PBE) on crystalline LaEuBiBr at its relaxed geometry.

- formation energy (no corrections) (eV/atom) = -1.12
- D(E_F) (states/eV/cell) = 6.79
- magnetization (μB per formula unit) = 7.9
- final energy (eV per atom) = -6.31

Lattice parameters (Å, degrees): 7.913 7.913 7.913 90.00 90.00 90.00
Space group F-43m (No. 216)
Symmetry-distinct sites (fractional):
La 0.000 0.000 0.000 (multiplicity 4)
Eu 0.000 0.000 0.500 (multiplicity 4)
Bi 0.250 0.250 0.750 (multiplicity 4)
Br 0.250 0.250 0.250 (multiplicity 4)

***

(2)
VASP calculation (PBE) on crystalline EuBi2BrO4 at its relaxed geometry.

- formation energy (no corrections) (eV/atom) = -1.72
- D(E_F) (states/eV/cell) = 7.37
- magnetization (μB per formula unit) = 6.0
- final energy (eV per atom) = -6.67

Lattice parameters (Å, degrees): 3.952 3.952 9.442 90.00 90.00 90.00
Space group P4/mmm (No. 123)
Symmetry-distinct sites (fractional):
Eu 0.000 0.000 0.000 (multiplicity 1)
Bi 0.500 0.500 0.271 (multiplicity 2)
Br 0.000 0.000 0.500 (multiplicity 1)
O 0.000 0.500 0.154 (multiplicity 4)

***

(3)
VASP calculation (PBE) on crystalline EuPuBiBr at its relaxed geometry.

- formation energy (no corrections) (eV/atom) = -0.79
- D(E_F) (states/eV/cell) = 119.84
- magnetization (μB per formula unit) = 1.1
- final energy (eV per atom) = -8.33

Lattice parameters (Å, degrees): 7.876 7.876 7.876 90.00 90.00 90.00
Space group F-43m (No. 216)
Symmetry-distinct sites (fractional):
Eu 0.000 0.000 0.000 (multiplicity 4)
Pu 0.000 0.000 0.500 (multiplicity 4)
Bi 0.250 0.250 0.250 (multiplicity 4)
Br 0.250 0.250 0.750 (multiplicity 4)

***

(4)
VASP calculation (PBE) on crystalline SmEuBiBr at its relaxed geometry.

- formation energy (no corrections) (eV/atom) = -1.02
- D(E_F) (states/eV/cell) = 6.76
- magnetization (μB per formula unit) = 7.9
- final energy (eV per atom) = -6.16

Lattice parameters (Å, degrees): 7.814 7.814 7.814 90.00 90.00 90.00
Space group F-43m (No. 216)
Symmetry-distinct sites (fractional):
Sm 0.000 0.000 0.000 (multiplicity 4)
Eu 0.000 0.000 0.500 (multiplicity 4)
Bi 0.250 0.250 0.750 (multiplicity 4)
Br 0.250 0.250 0.250 (multiplicity 4)

***

> Look up the D(E_F) of the first one.

6.79 states/eV/cell

***

> Among the records above, which one has the lowest formation energy (no corrections)?

EuBi2BrO4